# La3Nd5Co2

An optimized crystal structure of La3Nd5Co2 (GGA-PBE, the Alexandria database).

Output
As for the symmetry: Ibam. For the energy of formation, the calculation gives 0.004 eV/atom.

Cell lengths 10.1020, 10.1020, 10.1020 Å; angles 117.37, 81.57, 133.38 degrees
Fractional positions:
La 0.1345 0.7395 0.8739
La 0.2500 0.2500 0.0000
La 0.3655 0.2395 0.6050
La 0.6345 0.7605 0.3950
La 0.7500 0.7500 0.0000
La 0.8655 0.2605 0.1261
Nd 0.0012 0.7500 0.2512
Nd 0.1159 0.2566 0.3724
Nd 0.2500 0.7500 0.5000
Nd 0.3841 0.7566 0.1407
Nd 0.4988 0.7500 0.7488
Nd 0.5012 0.2500 0.2512
Nd 0.6159 0.2434 0.8593
Nd 0.7500 0.2500 0.5000
Nd 0.8841 0.7434 0.6276
Nd 0.9988 0.2500 0.7488
Co 0.1281 0.9906 0.1187
Co 0.3719 0.4906 0.8625
Co 0.6281 0.5094 0.1375
Co 0.8719 0.0094 0.8813


# LaNd4Co4

An optimized crystal structure of LaNd4Co4 (GGA-PBE, the Alexandria database).

Output
As for the symmetry: P4_2/n. For the energy of formation, the calculation gives 0.018 eV/atom.

Cell lengths 8.5704, 8.5704, 5.8448 Å; angles 90.00, 90.00, 90.00 degrees
Fractional positions:
La 0.2500 0.2500 0.2500
La 0.7500 0.7500 0.7500
Nd 0.0581 0.6767 0.1339
Nd 0.1767 0.9419 0.6339
Nd 0.3233 0.5581 0.6339
Nd 0.4419 0.8233 0.1339
Nd 0.5581 0.1767 0.8661
Nd 0.6767 0.4419 0.3661
Nd 0.8233 0.0581 0.3661
Nd 0.9419 0.3233 0.8661
Co 0.0105 0.6131 0.6100
Co 0.1131 0.9895 0.1100
Co 0.3869 0.5105 0.1100
Co 0.4895 0.8869 0.6100
Co 0.5105 0.1131 0.3900
Co 0.6131 0.4895 0.8900
Co 0.8869 0.0105 0.8900
Co 0.9895 0.3869 0.3900


# La4Nd2Co

An optimized crystal structure of La4Nd2Co (GGA-PBE, the Alexandria database).

Output
As for the symmetry: I4/mmm. For the energy of formation, the calculation gives 0.184 eV/atom.

Cell lengths 9.9319, 9.9319, 9.9319 Å; angles 149.95, 149.95, 43.02 degrees
Fractional positions:
La 0.0000 0.5000 0.5000
La 0.1571 0.1571 0.0000
La 0.5000 0.0000 0.5000
La 0.8429 0.8429 0.0000
Nd 0.3292 0.3292 0.0000
Nd 0.6708 0.6708 0.0000
Co 0.0000 0.0000 0.0000


# La2Nd2Co

An optimized crystal structure of La2Nd2Co (GGA-PBE, the Alexandria database).

Output
As for the symmetry: Imma. For the energy of formation, the calculation gives 0.071 eV/atom.

Cell lengths 13.6970, 13.6970, 13.6970 Å; angles 162.91, 155.34, 30.16 degrees
Fractional positions:
La 0.0575 0.3075 0.7500
La 0.3036 0.0536 0.2500
La 0.6964 0.9464 0.7500
La 0.9425 0.6925 0.2500
Nd 0.1774 0.4274 0.7500
Nd 0.4346 0.1846 0.2500
Nd 0.5654 0.8154 0.7500
Nd 0.8226 0.5726 0.2500
Co 0.3674 0.6174 0.7500
Co 0.6326 0.3826 0.2500


# LaNdCo

An optimized crystal structure of LaNdCo (GGA-PBE, the Alexandria database).

Output
As for the symmetry: F-43m. For the energy of formation, the calculation gives 0.031 eV/atom. The relative energy among the computed polymorphs comes out at 0.128 eV/atom.

Cell lengths 4.8650, 4.8650, 4.8650 Å; angles 60.00, 60.00, 60.00 degrees
Fractional positions:
La 0.0000 0.0000 0.0000
Nd 0.5000 0.5000 0.5000
Co 0.2500 0.2500 0.2500


# LaNdCo2

An optimized crystal structure of LaNdCo2 (GGA-PBE, the Alexandria database).

Output
As for the symmetry: Amm2. For the energy of formation, the calculation gives -0.067 eV/atom. The relative energy among the computed polymorphs comes out at 0.000 eV/atom.

Cell lengths 3.9254, 6.0327, 6.0327 Å; angles 38.61, 90.00, 90.00 degrees
Fractional positions:
La 0.0000 0.0000 0.0000
Nd 0.5000 0.2779 0.2779
Co 0.0000 0.6938 0.6938
Co 0.5000 0.5823 0.5823


# LaNd4Co

An optimized crystal structure of LaNd4Co (GGA-PBE, the Alexandria database).

Output
As for the symmetry: P4/mmm. For the energy of formation, the calculation gives 0.322 eV/atom. The relative energy among the computed polymorphs comes out at 0.299 eV/atom.

Cell lengths 4.7901, 4.7901, 9.2322 Å; angles 90.00, 90.00, 90.00 degrees
Fractional positions:
La 0.0000 0.0000 0.0000
Nd 0.0000 0.5000 0.3199
Nd 0.0000 0.5000 0.6801
Nd 0.5000 0.0000 0.3199
Nd 0.5000 0.0000 0.6801
Co 0.5000 0.5000 0.5000


# LaNd2Co2

An optimized crystal structure of LaNd2Co2 (GGA-PBE, the Alexandria database).

Output
As for the symmetry: C2/c. For the energy of formation, the calculation gives -0.022 eV/atom. The relative energy among the computed polymorphs comes out at 0.000 eV/atom.

Cell lengths 6.5810, 6.5810, 8.7053 Å; angles 109.33, 109.33, 48.24 degrees
Fractional positions:
La 0.0005 0.9995 0.2500
La 0.9995 0.0005 0.7500
Nd 0.3199 0.3206 0.4102
Nd 0.3206 0.3199 0.9102
Nd 0.6794 0.6801 0.0898
Nd 0.6801 0.6794 0.5898
Co 0.1297 0.1306 0.0650
Co 0.1306 0.1297 0.5650
Co 0.8694 0.8703 0.4350
Co 0.8703 0.8694 0.9350


# LaNd5Co3

An optimized crystal structure of LaNd5Co3 (GGA-PBE, the Alexandria database).

Output
As for the symmetry: P2/m. For the energy of formation, the calculation gives -0.028 eV/atom.

Cell lengths 6.5110, 4.0957, 19.5979 Å; angles 90.00, 90.72, 90.00 degrees
Fractional positions:
La 0.2246 0.0000 0.2227
La 0.7754 0.0000 0.7773
Nd 0.2221 0.0000 0.8893
Nd 0.2308 0.0000 0.5559
Nd 0.2706 0.5000 0.3910
Nd 0.2744 0.5000 0.0546
Nd 0.2739 0.5000 0.7213
Nd 0.7261 0.5000 0.2787
Nd 0.7256 0.5000 0.9454
Nd 0.7294 0.5000 0.6090
Nd 0.7692 0.0000 0.4441
Nd 0.7779 0.0000 0.1107
Co 0.0000 0.5000 0.5000
Co 0.0098 0.5000 0.1692
Co 0.4942 0.0000 0.3318
Co 0.5000 0.0000 0.0000
Co 0.5058 0.0000 0.6682
Co 0.9902 0.5000 0.8308


# La8NdCo4

An optimized crystal structure of La8NdCo4 (GGA-PBE, the Alexandria database).

Output
As for the symmetry: C2/m. For the energy of formation, the calculation gives -0.072 eV/atom.

Cell lengths 9.9942, 9.9942, 13.3124 Å; angles 130.80, 130.80, 23.51 degrees
Fractional positions:
La 0.0478 0.0478 0.2424
La 0.3003 0.3003 0.4300
La 0.3408 0.3408 0.1635
La 0.3619 0.3619 0.9066
La 0.6381 0.6381 0.0934
La 0.6592 0.6592 0.8365
La 0.6997 0.6997 0.5700
La 0.9522 0.9522 0.7576
Nd 0.0000 0.0000 0.5000
Co 0.1436 0.1436 0.9616
Co 0.3292 0.3292 0.6734
Co 0.6708 0.6708 0.3266
Co 0.8564 0.8564 0.0384


# La8Nd2Co3

An optimized crystal structure of La8Nd2Co3 (GGA-PBE, the Alexandria database).

Output
As for the symmetry: C2/m. For the energy of formation, the calculation gives 0.040 eV/atom.

Cell lengths 8.9235, 8.9235, 6.9274 Å; angles 95.86, 95.86, 50.07 degrees
Fractional positions:
La 0.1448 0.1448 0.8863
La 0.1462 0.6997 0.6677
La 0.3003 0.8538 0.3323
La 0.4054 0.4054 0.1254
La 0.5946 0.5946 0.8746
La 0.6997 0.1462 0.6677
La 0.8538 0.3003 0.3323
La 0.8552 0.8552 0.1137
Nd 0.2666 0.2666 0.4748
Nd 0.7334 0.7334 0.5252
Co 0.1827 0.8173 0.0000
Co 0.5000 0.5000 0.5000
Co 0.8173 0.1827 0.0000


# La2NdCo

An optimized crystal structure of La2NdCo (GGA-PBE, the Alexandria database).

Output
As for the symmetry: R-3m. For the energy of formation, the calculation gives 0.129 eV/atom. The relative energy among the computed polymorphs comes out at 0.217 eV/atom.

Cell lengths 10.7010, 10.7010, 10.7010 Å; angles 20.38, 20.38, 20.38 degrees
Fractional positions:
La 0.1143 0.1143 0.1143
La 0.8857 0.8857 0.8857
Nd 0.0000 0.0000 0.0000
Co 0.5000 0.5000 0.5000